Density functional theory data (GGA-PBE) for CoOsBr2 after structural relaxation.

## Properties
VASP energy, eV/atom: -4.04
Energy above the most stable polymorph in this dataset, eV per atom: 0.938
Mass density, Mg/m³: 10.4
Fermi-level density of states, states/eV per atom: 1.194
Formation energy from raw total energies, eV per formula unit: 5.51
Space-group type: P4/mmm, No. 123

Cell and atoms, written as POSCAR:
```
CoOsBr2
1.0
-2.2551 2.1512 -0.6865
-1.9948 -2.3525 -0.8190
-2.1319 -0.3013 6.0585
Br Co Os
2 1 1
Cartesian
-0.0120 -0.0017 0.0341
-1.0539 -0.1490 2.9951
-2.6579 -0.1760 0.7619
-3.7239 -0.3266 3.7911
```

---

Density functional theory data (GGA-PBE) for CoOs2Br after structural relaxation.

## Properties
VASP energy, eV/atom: -6.47
Energy above the most stable polymorph in this dataset, eV per atom: 0.629
Mass density, Mg/m³: 15.0
Fermi-level density of states, states/eV per atom: 1.307
Formation energy from raw total energies, eV per formula unit: 5.36
Space-group type: P4/mmm, No. 123

Cell and atoms, written as POSCAR:
```
CoOs2Br
1.0
2.9277 0.0000 0.0000
0.0000 4.4277 0.0000
0.0000 0.0000 4.4277
Br Co Os
1 1 2
Cartesian
1.4638 2.2138 0.0000
1.4638 0.0000 2.2138
0.0000 0.0000 0.0000
0.0000 2.2138 2.2138
```

---

Density functional theory data (GGA-PBE) for CoOsBr2 after structural relaxation.

## Properties
VASP energy, eV/atom: -4.67
Energy above the most stable polymorph in this dataset, eV per atom: 0.314
Mass density, Mg/m³: 8.1
Fermi-level density of states, states/eV per atom: 1.269
Formation energy from raw total energies, eV per formula unit: 3.01
Space-group type: P4mm, No. 99

Cell and atoms, written as POSCAR:
```
CoOsBr2
1.0
-2.1387 0.5613 -2.3885
1.2989 -2.4292 -1.7339
-5.0554 -5.0817 3.3324
Br Co Os
2 1 1
Cartesian
-4.6443 -4.6684 3.0615
-2.2043 -2.7276 -0.8849
-2.7564 -2.7707 1.8170
-3.8733 -4.4053 0.2153
```

---

Density functional theory data (GGA-PBE) for CoOs2Br after structural relaxation.

## Properties
VASP energy, eV/atom: -6.78
Energy above the most stable polymorph in this dataset, eV per atom: 0.319
Mass density, Mg/m³: 14.5
Fermi-level density of states, states/eV per atom: 1.239
Formation energy from raw total energies, eV per formula unit: 4.12
Space-group type: C2/m, No. 12

Cell and atoms, written as POSCAR:
```
CoOs2Br
1.0
4.4577 -0.0239 0.0388
3.5503 2.6958 0.0388
0.8571 0.2860 4.9391
Br Co Os
1 1 2
Cartesian
2.2163 0.7395 1.2542
6.6488 2.2184 3.7626
0.8952 0.2987 4.7622
4.3945 1.4662 2.6853
```